(1)
This record from Alexandria via LeMat-Bulk describes ZnH8O4F2 at its PBEsol-relaxed geometry. The functional is SCAN.

```
ZnH8O4F2
1.0
12.360 0.000 0.000
0.000 5.248 0.000
0.000 0.000 7.348
Zn H O F
4 32 16 8
Direct
0.124 0.197 0.000
0.376 0.197 0.500
0.624 0.803 0.000
0.876 0.803 0.500
0.017 0.475 0.246
0.078 0.933 0.384
0.079 0.946 0.605
0.123 0.630 0.189
0.135 0.749 0.821
0.172 0.365 0.397
0.174 0.374 0.616
0.233 0.930 0.757
0.267 0.930 0.257
0.326 0.374 0.116
0.328 0.365 0.897
0.365 0.749 0.321
0.377 0.630 0.689
0.421 0.946 0.105
0.422 0.933 0.884
0.483 0.475 0.746
0.517 0.525 0.246
0.578 0.067 0.384
0.579 0.054 0.605
0.623 0.370 0.189
0.635 0.251 0.821
0.672 0.635 0.397
0.674 0.626 0.616
0.733 0.070 0.757
0.767 0.070 0.257
0.826 0.626 0.116
0.828 0.635 0.897
0.865 0.251 0.321
0.877 0.370 0.689
0.921 0.054 0.105
0.922 0.067 0.884
0.983 0.525 0.746
0.031 0.931 0.495
0.097 0.451 0.213
0.154 0.933 0.796
0.217 0.325 0.507
0.283 0.325 0.007
0.346 0.933 0.296
0.403 0.451 0.713
0.469 0.931 0.995
0.531 0.069 0.495
0.597 0.549 0.213
0.654 0.067 0.796
0.717 0.675 0.507
0.783 0.675 0.007
0.846 0.067 0.296
0.903 0.549 0.713
0.969 0.069 0.995
0.100 0.466 0.794
0.151 0.918 0.201
0.349 0.918 0.701
0.400 0.466 0.294
0.600 0.534 0.794
0.651 0.082 0.201
0.849 0.082 0.701
0.900 0.534 0.294
```

The calculation puts the total moment at 0.0000 μB/atom. As for the total energy: -373.92 eV per cell.



(2)
This record from Alexandria via LeMat-Bulk describes Ba8Dy3Pt4O18 at its PBEsol-relaxed geometry. The functional is SCAN.

```
Ba8Dy3Pt4O18
1.0
8.355 0.000 0.000
0.000 8.355 0.000
0.000 0.000 8.355
Ba Dy Pt O
8 3 4 18
Direct
0.237 0.237 0.237
0.237 0.237 0.763
0.237 0.763 0.237
0.237 0.763 0.763
0.763 0.237 0.237
0.763 0.237 0.763
0.763 0.763 0.237
0.763 0.763 0.763
0.000 0.000 0.500
0.000 0.500 0.000
0.500 0.000 0.000
0.000 0.000 0.000
0.000 0.500 0.500
0.500 0.000 0.500
0.500 0.500 0.000
0.000 0.000 0.238
0.000 0.000 0.762
0.000 0.238 0.000
0.000 0.262 0.500
0.000 0.500 0.262
0.000 0.500 0.738
0.000 0.738 0.500
0.000 0.762 0.000
0.238 0.000 0.000
0.262 0.000 0.500
0.262 0.500 0.000
0.500 0.000 0.262
0.500 0.000 0.738
0.500 0.262 0.000
0.500 0.738 0.000
0.738 0.000 0.500
0.738 0.500 0.000
0.762 0.000 0.000
```

The value obtained for the uncorrected formation energy is -58.96 kcal/mol of atoms. The calculation puts the total moment at 0.0342 μB/atom.



(3)
This record from Alexandria via LeMat-Bulk describes BaSn3I at its PBEsol-relaxed geometry. The functional is SCAN.

```
BaSn3I
1.0
6.217 0.000 0.000
0.000 6.217 0.000
0.000 0.000 6.217
Ba Sn I
1 3 1
Direct
0.000 0.000 0.000
0.000 0.000 0.500
0.000 0.500 0.000
0.500 0.000 0.000
0.500 0.500 0.500
```

The value obtained for the uncorrected formation energy is 22.40 kcal/mol of atoms. The calculation puts the total moment at 0.4388 μB/atom.



(4)
This record from Alexandria via LeMat-Bulk describes La3Rh2 at its PBEsol-relaxed geometry. The functional is SCAN.

```
La3Rh2
1.0
4.415 2.549 5.581
-4.415 2.549 5.581
0.000 -5.098 5.581
La Rh
9 6
Direct
0.000 0.000 0.000
0.164 0.668 0.391
0.204 0.204 0.204
0.332 0.609 0.836
0.391 0.164 0.668
0.609 0.836 0.332
0.668 0.391 0.164
0.796 0.796 0.796
0.836 0.332 0.609
0.043 0.410 0.836
0.164 0.957 0.590
0.410 0.836 0.043
0.590 0.164 0.957
0.836 0.043 0.410
0.957 0.590 0.164
```

The formation energy is -71.1 kJ per mole of atoms. The calculation puts the total moment at 0.0001 μB/atom.



(5)
This record from Alexandria via LeMat-Bulk describes CaLaIn2 at its PBEsol-relaxed geometry. The functional is SCAN.

```
CaLaIn2
1.0
3.558 -4.491 0.000
3.558 4.491 0.000
0.000 0.000 3.527
Ca La In
1 1 2
Direct
0.000 0.000 0.000
0.500 0.500 0.000
0.000 0.500 0.500
0.500 0.000 0.500
```

The formation energy is -58.9 kJ per mole of atoms. The calculation puts the total moment at 0.0008 μB/atom.



(6)
This record from Alexandria via LeMat-Bulk describes K2CoTc at its PBEsol-relaxed geometry. The functional is SCAN.

```
K2CoTc
1.0
1.386 0.800 11.427
-1.386 0.800 11.427
0.000 -1.600 11.427
K Co Tc
2 1 1
Direct
0.089 0.089 0.089
0.911 0.911 0.911
0.500 0.500 0.500
0.000 0.000 0.000
```

The formation energy is 139.4 kJ per mole of atoms. The calculation puts the total moment at 0.4211 μB/atom.



> Look up the total moment of the third one.

0.4388 μB/atom